# 1
Here is an optimized crystal structure of CdIrOs2 from Alexandria via LeMat-Bulk. Energies are from PBEsol.

Cell: 2.7186 2.7237 9.5820 Å, 90.00 90.00 119.94°
Sites, in units of the cell vectors:
1 Cd 0.5000 0.0000 0.5000
2 Ir 0.5000 0.0000 0.0000
3 Os 0.0000 0.0000 0.7622
4 Os 0.0000 0.0000 0.2378

Output
energy of formation: 0.66 eV/atom

***

# 2
Here is an optimized crystal structure of LiCo2Si2 from Alexandria via LeMat-Bulk. Energies are from PBEsol.

Cell: 3.7087 3.7087 5.4597 Å, 109.86 109.86 90.00°
Sites, in units of the cell vectors:
1 Si 0.3762 0.3762 0.7523
2 Si 0.6238 0.6238 0.2477
3 Co 0.2500 0.7500 0.5000
4 Co 0.7500 0.2500 0.5000
5 Li 0.0000 0.0000 0.0000

Output
E_form (uncorrected): -0.408 eV per atom

***

# 3
Here is an optimized crystal structure of HoSbO4 from Alexandria via LeMat-Bulk. Energies are from PBEsol.

Cell: 5.3027 7.4552 7.5360 Å, 98.20 90.00 90.00°
Sites, in units of the cell vectors:
1 Ho 0.2743 0.8893 0.6422
2 Ho 0.7257 0.1107 0.3578
3 Ho 0.2257 0.3893 0.6422
4 Ho 0.7743 0.6107 0.3578
5 Sb 0.2293 0.3091 0.1629
6 Sb 0.7707 0.6909 0.8371
7 Sb 0.7293 0.1909 0.8371
8 Sb 0.2707 0.8091 0.1629
9 O 0.0975 0.8113 0.9292
10 O 0.9025 0.1887 0.0708
11 O 0.6130 0.9360 0.8299
12 O 0.3870 0.0640 0.1701
13 O 0.8870 0.4360 0.8299
14 O 0.1130 0.5641 0.1701
15 O 0.4025 0.3113 0.9292
16 O 0.5975 0.6887 0.0708
17 O 0.0179 0.3279 0.3874
18 O 0.9821 0.6721 0.6126
19 O 0.5179 0.1721 0.6126
20 O 0.4821 0.8279 0.3874
21 O 0.4922 0.6182 0.6726
22 O 0.5078 0.3818 0.3274
23 O 0.0078 0.1182 0.6726
24 O 0.9922 0.8818 0.3274

Output
E_form (uncorrected): -2.464 eV per atom

***

# 4
Here is an optimized crystal structure of TaCuTc from Alexandria via LeMat-Bulk. Energies are from PBEsol.

Cell: 2.6047 4.3884 4.3884 Å, 120.00 90.00 90.00°
Sites, in units of the cell vectors:
1 Cu 0.9992 0.0000 0.0000
2 Ta 0.6614 0.6667 0.3333
3 Tc 0.3394 0.3333 0.6667

Output
energy of formation: 0.06 eV/atom
excess energy over the best structure of this formula in the dataset: 0.0 meV/atom

***

# 5
Here is an optimized crystal structure of Ti2NiPd from Alexandria via LeMat-Bulk. Energies are from PBEsol.

Cell: 2.7113 4.3929 4.7323 Å, 90.00 90.00 90.00°
Sites, in units of the cell vectors:
1 Ni 0.5000 0.5000 0.3141
2 Pd 0.5000 0.0000 0.6812
3 Ti 0.0000 0.5000 0.7979
4 Ti 0.0000 0.0000 0.2068

Output
energy of formation: -0.44 eV/atom

***

# 6
Here is an optimized crystal structure of BaAsPt2 from Alexandria via LeMat-Bulk. Energies are from PBEsol.

Cell: 3.3229 3.3229 7.4943 Å, 90.00 90.00 90.00°
Sites, in units of the cell vectors:
1 As 0.5000 0.5000 0.0000
2 Ba 0.5000 0.5000 0.5000
3 Pt 0.0000 0.0000 0.8141
4 Pt 0.0000 0.0000 0.1859

Output
energy of formation: -0.20 eV/atom

***

# 7
Here is an optimized crystal structure of Mg2ScMn3S8 from Alexandria via LeMat-Bulk. Energies are from PBEsol.

Cell: 7.2707 7.2707 7.2707 Å, 59.58 59.58 59.58°
Sites, in units of the cell vectors:
1 Mg 0.8748 0.8748 0.8748
2 Mg 0.1252 0.1252 0.1252
3 Sc 0.5000 0.5000 0.5000
4 Mn 0.5000 0.5000 0.0000
5 Mn 0.0000 0.5000 0.5000
6 Mn 0.5000 0.0000 0.5000
7 S 0.7389 0.7389 0.7389
8 S 0.2529 0.2529 0.7158
9 S 0.2529 0.7158 0.2529
10 S 0.7158 0.2529 0.2529
11 S 0.7471 0.2842 0.7471
12 S 0.2842 0.7471 0.7471
13 S 0.2611 0.2611 0.2611
14 S 0.7471 0.7471 0.2842

Output
E_form (uncorrected): -0.967 eV per atom

***

# 8
Here is an optimized crystal structure of BaTcIr from Alexandria via LeMat-Bulk. Energies are from PBEsol.

Cell: 2.9158 3.8475 6.3393 Å, 107.67 103.30 90.00°
Sites, in units of the cell vectors:
1 Ba 0.0018 0.0018 0.0036
2 Ir 0.7137 0.7137 0.4274
3 Tc 0.2845 0.2845 0.5690

Output
energy of formation: 0.43 eV/atom

***

# 9
Here is an optimized crystal structure of CrCu2Te from Alexandria via LeMat-Bulk. Energies are from PBEsol.

Cell: 3.4604 3.4583 5.2285 Å, 90.00 90.00 90.00°
Sites, in units of the cell vectors:
1 Cr 0.5000 0.5000 0.5000
2 Cu 0.0000 0.0000 0.7334
3 Cu 0.0000 0.0000 0.2666
4 Te 0.5000 0.5000 0.0000

Output
E_form (uncorrected): 0.355 eV per atom

***

# 10
Here is an optimized crystal structure of K3TmCl6 from Alexandria via LeMat-Bulk. Energies are from PBEsol.

Cell: 7.7215 7.7215 7.7215 Å, 60.00 60.00 60.00°
Sites, in units of the cell vectors:
1 K 0.5000 0.5000 0.5000
2 K 0.7500 0.7500 0.7500
3 K 0.2500 0.2500 0.2500
4 Tm 0.0000 0.0000 0.0000
5 Cl 0.7657 0.2343 0.2343
6 Cl 0.2343 0.7657 0.2343
7 Cl 0.2343 0.2343 0.7657
8 Cl 0.7657 0.2343 0.7657
9 Cl 0.7657 0.7657 0.2343
10 Cl 0.2343 0.7657 0.7657

Output
E_form (uncorrected): -2.046 eV per atom

***

# 11
Here is an optimized crystal structure of FeSN2O from Alexandria via LeMat-Bulk. Energies are from PBEsol.

Cell: 3.4714 3.4714 3.6620 Å, 90.00 90.00 90.00°
Sites, in units of the cell vectors:
1 S 0.0000 0.0000 0.0000
2 Fe 0.5000 0.5000 0.5000
3 O 0.0000 0.0000 0.5000
4 N 0.0000 0.5000 0.0000
5 N 0.5000 0.0000 0.0000

Output
E_form (uncorrected): 1.043 eV per atom

***

# 12
Here is an optimized crystal structure of K3InB from Alexandria via LeMat-Bulk. Energies are from PBEsol.

Cell: 5.9578 5.9578 5.9578 Å, 90.00 90.00 90.00°
Sites, in units of the cell vectors:
1 K 0.0000 0.5000 0.0000
2 K 0.0000 0.0000 0.5000
3 K 0.5000 0.0000 0.0000
4 B 0.0000 0.0000 0.0000
5 In 0.5000 0.5000 0.5000

Output
energy of formation: 0.88 eV/atom

***

# 13
Here is an optimized crystal structure of YZrHg2 from Alexandria via LeMat-Bulk. Energies are from PBEsol.

Cell: 3.3576 3.9607 6.7393 Å, 90.00 90.00 90.00°
Sites, in units of the cell vectors:
1 Y 0.5000 0.5000 0.0000
2 Hg 0.0000 0.0000 0.7330
3 Hg 0.0000 0.0000 0.2670
4 Zr 0.5000 0.5000 0.5000

Output
energy of formation: -0.39 eV/atom
excess energy over the best structure of this formula in the dataset: 0.0 meV/atom

***

# 14
Here is an optimized crystal structure of Re3HBr from Alexandria via LeMat-Bulk. Energies are from PBEsol.

Cell: 4.0033 4.0033 4.0033 Å, 90.00 90.00 90.00°
Sites, in units of the cell vectors:
1 Re 0.0000 0.5000 0.0000
2 Re 0.0000 0.0000 0.5000
3 Re 0.5000 0.0000 0.0000
4 Br 0.5000 0.5000 0.5000
5 H 0.0000 0.0000 0.0000

Output
energy: -38.4 eV for the cell shown

***

# 15
Here is an optimized crystal structure of TaBeCo from Alexandria via LeMat-Bulk. Energies are from PBEsol.

Cell: 3.7750 3.7750 3.7750 Å, 60.00 60.00 60.00°
Sites, in units of the cell vectors:
1 Be 0.2500 0.2500 0.2500
2 Co 0.0000 0.0000 0.0000
3 Ta 0.5000 0.5000 0.5000

Output
energy of formation: 0.35 eV/atom
excess energy over the best structure of this formula in the dataset: 495.1 meV/atom

***

# 16
Here is an optimized crystal structure of TaNiSeO2 from Alexandria via LeMat-Bulk. Energies are from PBEsol.

Cell: 3.8078 3.8078 4.4953 Å, 90.00 90.00 90.00°
Sites, in units of the cell vectors:
1 Ni 0.0000 0.0000 0.5000
2 O 0.0000 0.5000 0.0000
3 O 0.5000 0.0000 0.0000
4 Se 0.0000 0.0000 0.0000
5 Ta 0.5000 0.5000 0.5000

Output
E_form (uncorrected): 0.428 eV per atom

***

# 17
Here is an optimized crystal structure of CuSBrCl2 from Alexandria via LeMat-Bulk. Energies are from PBEsol.

Cell: 4.7597 5.0701 5.0701 Å, 90.00 90.00 90.00°
Sites, in units of the cell vectors:
1 S 0.5000 0.0000 0.0000
2 Cu 0.5000 0.5000 0.5000
3 Br 0.0000 0.0000 0.0000
4 Cl 0.0000 0.0000 0.5000
5 Cl 0.0000 0.5000 0.0000

Output
E_form (uncorrected): 0.836 eV per atom

***

# 18
Here is an optimized crystal structure of AlSi2Tc from Alexandria via LeMat-Bulk. Energies are from PBEsol.

Cell: 5.8324 6.4413 5.8324 Å, 63.08 90.00 116.92°
Sites, in units of the cell vectors:
1 Si 0.0978 0.7500 0.8750
2 Si 0.6522 0.7500 0.3750
3 Si 0.3750 0.2500 0.0978
4 Si 0.8750 0.2500 0.6522
5 Tc 0.7500 0.5000 0.7500
6 Tc 0.0000 0.0000 0.0000
7 Al 0.2500 0.5000 0.2500
8 Al 0.5000 0.0000 0.5000

Output
E_form (uncorrected): 0.664 eV per atom

***

# 19
Here is an optimized crystal structure of LiZn2GaPt from Alexandria via LeMat-Bulk. Energies are from PBEsol.

Cell: 4.2111 4.2111 4.2598 Å, 90.00 90.00 90.00°
Sites, in units of the cell vectors:
1 Zn 0.0000 0.5000 0.0000
2 Zn 0.5000 0.0000 0.0000
3 Ga 0.0000 0.0000 0.5000
4 Pt 0.5000 0.5000 0.5000
5 Li 0.0000 0.0000 0.0000

Output
energy of formation: 0.51 eV/atom

***

# 20
Here is an optimized crystal structure of ZnRhBr2 from Alexandria via LeMat-Bulk. Energies are from PBEsol.

Cell: 4.7077 4.7077 4.7077 Å, 60.00 60.00 60.00°
Sites, in units of the cell vectors:
1 Br 0.0000 0.0000 0.0000
2 Br 0.7500 0.7500 0.7500
3 Rh 0.5000 0.5000 0.5000
4 Zn 0.2500 0.2500 0.2500

Output
E_form (uncorrected): 0.642 eV per atom
excess energy over the best structure of this formula in the dataset: 765.8 meV/atom